Entry 1:
This record from the Alexandria database describes a relaxed structure of YRe2Te. The functional is GGA-PBE.

Output
- SG: P4mm (99)
- Energy relative to the elements, uncorrected: 0.141 eV/atom

Cell and atoms, written as CIF:
```
data_YRe2Te
_chemical_formula_sum 'Y1 Re2 Te1'
_cell_length_a 3.196
_cell_length_b 3.196
_cell_length_c 7.978
_cell_angle_alpha 90.00
_cell_angle_beta 90.00
_cell_angle_gamma 90.00
_space_group_name_H-M_alt 'P 1'
_space_group_IT_number 1
_space_group_name_Hall 'P 1'
loop_
_atom_site_label
_atom_site_fract_x
_atom_site_fract_y
_atom_site_fract_z
Re1 0.000 0.000 0.039
Re2 0.500 0.500 0.212
Te1 0.000 0.000 0.468
Y1 0.500 0.500 0.781
```



Entry 2:
This record from the Alexandria database describes a relaxed structure of Ca2MgSn2Pd5. The functional is GGA-PBE.

Output
- Energy of formation: -6.06 eV per formula unit
- SG: P4/mbm (127)

Cell and atoms, written as CIF:
```
data_Ca2MgSn2Pd5
_chemical_formula_sum 'Ca4 Mg2 Sn4 Pd10'
_cell_length_a 3.591
_cell_length_b 10.664
_cell_length_c 10.664
_cell_angle_alpha 90.00
_cell_angle_beta 90.00
_cell_angle_gamma 90.00
_space_group_name_H-M_alt 'P 1'
_space_group_IT_number 1
_space_group_name_Hall 'P 1'
loop_
_atom_site_label
_atom_site_fract_x
_atom_site_fract_y
_atom_site_fract_z
Ca1 0.000 0.669 0.169
Ca2 0.000 0.331 0.831
Ca3 0.000 0.169 0.331
Ca4 0.000 0.831 0.669
Mg1 0.000 0.000 0.000
Mg2 0.000 0.500 0.500
Sn1 0.000 0.134 0.634
Sn2 0.000 0.866 0.366
Sn3 0.000 0.634 0.866
Sn4 0.000 0.366 0.134
Pd1 0.500 0.194 0.049
Pd2 0.500 0.806 0.951
Pd3 0.500 0.049 0.806
Pd4 0.500 0.694 0.451
Pd5 0.500 0.951 0.194
Pd6 0.500 0.306 0.549
Pd7 0.500 0.549 0.694
Pd8 0.500 0.451 0.306
Pd9 0.500 0.500 0.000
Pd10 0.500 0.000 0.500
```



Entry 3:
This record from the Alexandria database describes a relaxed structure of YSc2Ag3Se6. The functional is GGA-PBE.

Output
- SG: C2/m (12)
- Energy relative to the elements, uncorrected: -1.083 eV/atom

Cell and atoms, written as CIF:
```
data_YSc2Ag3Se6
_chemical_formula_sum 'Y1 Sc2 Ag3 Se6'
_cell_length_a 6.982
_cell_length_b 6.982
_cell_length_c 6.948
_cell_angle_alpha 99.55
_cell_angle_beta 99.55
_cell_angle_gamma 120.06
_space_group_name_H-M_alt 'P 1'
_space_group_IT_number 1
_space_group_name_Hall 'P 1'
loop_
_atom_site_label
_atom_site_fract_x
_atom_site_fract_y
_atom_site_fract_z
Y1 0.000 0.000 0.000
Sc1 0.332 0.668 0.000
Sc2 0.668 0.332 0.000
Ag1 0.160 0.840 0.500
Ag2 0.840 0.160 0.500
Ag3 0.500 0.500 0.500
Se1 0.922 0.575 0.765
Se2 0.730 0.730 0.235
Se3 0.078 0.425 0.235
Se4 0.575 0.922 0.765
Se5 0.270 0.270 0.765
Se6 0.425 0.078 0.235
```



Entry 4:
This record from the Alexandria database describes a relaxed structure of Li12Tl3H5. The functional is GGA-PBE.

Output
- SG: Ia-3d (230)

Cell and atoms, written as CIF:
```
data_Li12Tl3H5
_chemical_formula_sum 'Li48 Tl12 H20'
_cell_length_a 11.616
_cell_length_b 11.616
_cell_length_c 11.616
_cell_angle_alpha 109.47
_cell_angle_beta 109.47
_cell_angle_gamma 109.47
_space_group_name_H-M_alt 'P 1'
_space_group_IT_number 1
_space_group_name_Hall 'P 1'
loop_
_atom_site_label
_atom_site_fract_x
_atom_site_fract_y
_atom_site_fract_z
Tl1 0.750 0.375 0.125
Tl2 0.875 0.750 0.125
Tl3 0.375 0.750 0.625
Tl4 0.250 0.125 0.375
Tl5 0.875 0.125 0.250
Tl6 0.375 0.625 0.250
Tl7 0.625 0.375 0.750
Tl8 0.125 0.875 0.750
Tl9 0.750 0.875 0.625
Tl10 0.625 0.250 0.375
Tl11 0.125 0.250 0.875
Tl12 0.250 0.625 0.875
H1 0.125 0.375 0.250
H2 0.000 0.500 0.000
H3 0.000 0.000 0.000
H4 0.375 0.250 0.125
H5 0.500 0.000 0.500
H6 0.500 0.500 0.000
H7 0.125 0.750 0.375
H8 0.750 0.125 0.875
H9 0.750 0.625 0.375
H10 0.375 0.125 0.750
H11 0.625 0.875 0.250
H12 0.500 0.500 0.500
H13 0.500 0.000 0.000
H14 0.000 0.000 0.500
H15 0.250 0.375 0.625
H16 0.250 0.875 0.125
H17 0.000 0.500 0.500
H18 0.875 0.250 0.625
H19 0.625 0.750 0.875
H20 0.875 0.625 0.750
Li1 0.688 0.097 0.995
Li2 0.306 0.495 0.397
Li3 0.005 0.403 0.312
Li4 0.495 0.188 0.097
Li5 0.591 0.688 0.694
Li6 0.005 0.603 0.194
Li7 0.306 0.812 0.409
Li8 0.103 0.909 0.097
Li9 0.603 0.005 0.694
Li10 0.688 0.591 0.194
Li11 0.812 0.505 0.403
Li12 0.806 0.897 0.995
Li13 0.097 0.688 0.495
Li14 0.403 0.397 0.091
Li15 0.091 0.897 0.403
Li16 0.409 0.097 0.603
Li17 0.091 0.194 0.188
Li18 0.505 0.694 0.103
Li19 0.806 0.909 0.312
Li20 0.097 0.409 0.103
Li21 0.403 0.005 0.812
Li22 0.603 0.597 0.409
Li23 0.897 0.806 0.495
Li24 0.812 0.306 0.909
Li25 0.397 0.403 0.591
Li26 0.103 0.194 0.505
Li27 0.188 0.694 0.091
Li28 0.194 0.091 0.688
Li29 0.597 0.995 0.188
Li30 0.903 0.591 0.897
Li31 0.495 0.306 0.897
Li32 0.591 0.903 0.397
Li33 0.909 0.806 0.812
Li34 0.909 0.103 0.597
Li35 0.903 0.312 0.505
Li36 0.194 0.103 0.005
Li37 0.597 0.603 0.909
Li38 0.397 0.995 0.306
Li39 0.312 0.409 0.806
Li40 0.188 0.495 0.597
Li41 0.897 0.091 0.903
Li42 0.694 0.188 0.591
Li43 0.505 0.812 0.903
Li44 0.995 0.397 0.806
Li45 0.409 0.312 0.306
Li46 0.995 0.597 0.688
Li47 0.694 0.505 0.603
Li48 0.312 0.903 0.005
```



Entry 5:
This record from the Alexandria database describes a relaxed structure of V5RuPt4. The functional is GGA-PBE.

Output
- Energy of formation: -3.14 eV per formula unit
- SG: P4/mmm (123)

Cell and atoms, written as CIF:
```
data_V5RuPt4
_chemical_formula_sum 'V5 Ru1 Pt4'
_cell_length_a 3.281
_cell_length_b 3.281
_cell_length_c 13.560
_cell_angle_alpha 90.00
_cell_angle_beta 90.00
_cell_angle_gamma 90.00
_space_group_name_H-M_alt 'P 1'
_space_group_IT_number 1
_space_group_name_Hall 'P 1'
loop_
_atom_site_label
_atom_site_fract_x
_atom_site_fract_y
_atom_site_fract_z
V1 0.500 0.500 0.095
V2 0.500 0.500 0.298
V3 0.500 0.500 0.500
V4 0.500 0.500 0.702
V5 0.500 0.500 0.905
Ru1 0.000 0.000 0.000
Pt1 0.000 0.000 0.201
Pt2 0.000 0.000 0.401
Pt3 0.000 0.000 0.599
Pt4 0.000 0.000 0.799
```



Entry 6:
This record from the Alexandria database describes a relaxed structure of Ba2SnAsAu6. The functional is GGA-PBE.

Output
- Energy of formation: -4.59 eV per formula unit
- SG: P-1 (2)

Cell and atoms, written as CIF:
```
data_Ba2SnAsAu6
_chemical_formula_sum 'Ba2 Sn1 As1 Au6'
_cell_length_a 9.281
_cell_length_b 5.805
_cell_length_c 7.389
_cell_angle_alpha 66.92
_cell_angle_beta 50.93
_cell_angle_gamma 90.07
_space_group_name_H-M_alt 'P 1'
_space_group_IT_number 1
_space_group_name_Hall 'P 1'
loop_
_atom_site_label
_atom_site_fract_x
_atom_site_fract_y
_atom_site_fract_z
Ba1 0.793 0.257 0.485
Ba2 0.207 0.743 0.515
Sn1 0.500 0.500 0.000
As1 0.000 0.000 0.000
Au1 0.398 0.250 0.503
Au2 0.747 0.751 0.007
Au3 0.254 0.759 0.990
Au4 0.746 0.241 0.010
Au5 0.253 0.249 0.993
Au6 0.602 0.750 0.497
```



Entry 7:
This record from the Alexandria database describes a relaxed structure of LiNdO2. The functional is GGA-PBE.

Output
- SG: R3m (160)
- Energy relative to the elements, uncorrected: -2.520 eV/atom

Cell and atoms, written as CIF:
```
data_LiNdO2
_chemical_formula_sum 'Li1 Nd1 O2'
_cell_length_a 3.533
_cell_length_b 3.533
_cell_length_c 6.170
_cell_angle_alpha 73.36
_cell_angle_beta 73.36
_cell_angle_gamma 60.00
_space_group_name_H-M_alt 'P 1'
_space_group_IT_number 1
_space_group_name_Hall 'P 1'
loop_
_atom_site_label
_atom_site_fract_x
_atom_site_fract_y
_atom_site_fract_z
Li1 0.476 0.476 0.573
Nd1 0.668 0.668 0.995
O1 0.083 0.083 0.751
O2 0.273 0.273 0.182
```



Entry 8:
This record from the Alexandria database describes a relaxed structure of AsP2Pb. The functional is GGA-PBE.

Output
- Energy of formation: 1.10 eV per formula unit
- SG: C2/m (12)
- ΔE to the lowest computed polymorph: 75 meV per atom

Cell and atoms, written as CIF:
```
data_AsP2Pb
_chemical_formula_sum 'As1 P2 Pb1'
_cell_length_a 5.539
_cell_length_b 5.539
_cell_length_c 5.768
_cell_angle_alpha 66.86
_cell_angle_beta 66.86
_cell_angle_gamma 34.21
_space_group_name_H-M_alt 'P 1'
_space_group_IT_number 1
_space_group_name_Hall 'P 1'
loop_
_atom_site_label
_atom_site_fract_x
_atom_site_fract_y
_atom_site_fract_z
As1 0.250 0.250 0.250
P1 0.972 0.972 0.139
P2 0.528 0.528 0.361
Pb1 0.750 0.750 0.750
```



Entry 9:
This record from the Alexandria database describes a relaxed structure of Li2ZrPb. The functional is GGA-PBE.

Output
- Energy of formation: 0.07 eV per formula unit
- SG: I4/mmm (139)

Cell and atoms, written as CIF:
```
data_Li2ZrPb
_chemical_formula_sum 'Li2 Zr1 Pb1'
_cell_length_a 5.624
_cell_length_b 5.624
_cell_length_c 5.624
_cell_angle_alpha 135.51
_cell_angle_beta 135.51
_cell_angle_gamma 64.74
_space_group_name_H-M_alt 'P 1'
_space_group_IT_number 1
_space_group_name_Hall 'P 1'
loop_
_atom_site_label
_atom_site_fract_x
_atom_site_fract_y
_atom_site_fract_z
Li1 0.000 0.000 0.000
Li2 0.500 0.500 0.000
Pb1 0.250 0.750 0.500
Zr1 0.750 0.250 0.500
```



Entry 10:
This record from the Alexandria database describes a relaxed structure of BiPb4. The functional is GGA-PBE.

Output
- Energy of formation: 0.10 eV per formula unit
- SG: Fdd2 (43)
- ΔE to the lowest computed polymorph: 10 meV per atom

Cell and atoms, written as CIF:
```
data_BiPb4
_chemical_formula_sum 'Bi2 Pb8'
_cell_length_a 6.897
_cell_length_b 6.897
_cell_length_c 8.977
_cell_angle_alpha 98.74
_cell_angle_beta 98.74
_cell_angle_gamma 127.18
_space_group_name_H-M_alt 'P 1'
_space_group_IT_number 1
_space_group_name_Hall 'P 1'
loop_
_atom_site_label
_atom_site_fract_x
_atom_site_fract_y
_atom_site_fract_z
Bi1 0.251 0.251 0.000
Bi2 0.501 0.001 0.500
Pb1 0.681 0.593 0.804
Pb2 0.790 0.877 0.196
Pb3 0.698 0.138 0.905
Pb4 0.233 0.793 0.095
Pb5 0.388 0.448 0.405
Pb6 0.043 0.983 0.595
Pb7 0.127 0.540 0.696
Pb8 0.843 0.431 0.304
```



no.,uncorrected energy (eV for the cell shown),total moment (μB per cell)
1,-33.94,0.00
2,-91.25,0.00
3,-61.58,0.00
4,-197.47,0.00
5,-82.17,0.61
6,-36.75,0.00
7,-26.68,0.00
8,-18.07,0.00
9,-16.02,1.38
10,-37.23,0.00